This record from Alexandria via LeMat-Bulk describes NaTlZnF4 after structural relaxation. The functional is PBE-GGA.

Values from the calculation:
uncorrected energy = -4.023 eV/atom
V = 259 Å³/cell
D(E_F) = 0.000 states/eV per atom

extended XYZ file:
```
14
Lattice="6.103 0.000 0.147 0.000 6.070 0.000 -2.230 0.000 6.945" Properties=species:S:1:pos:R:3 pbc="T T T"
F -0.367 5.963 2.146
F -0.367 3.143 2.146
Zn 0.942 4.553 2.420
Na 3.997 4.553 3.276
Zn 2.931 1.518 4.672
Na -0.124 1.518 3.816
Tl 1.431 1.518 0.475
F 4.241 2.928 4.946
F 2.507 4.553 1.298
F 1.781 4.553 4.146
F 1.366 1.518 5.794
Tl 2.442 4.553 6.617
F 4.241 0.108 4.946
F 2.092 1.518 2.946
```